## TbCr2IrO8 (GGA+U)

Data for a relaxed TbCr2IrO8 crystal.

Structure (POSCAR):
```
TbCr2IrO8
1.0
4.7083 0.0000 0.0000
0.0000 6.3284 0.0000
-0.0717 0.0000 4.7142
Tb Cr Ir O
1 2 1 8
direct
0.0000 0.0000 0.0000
0.5000 0.2486 0.5000
0.5000 0.7514 0.5000
0.0000 0.5000 0.0000
0.2078 0.2826 0.2063
0.2078 0.7174 0.2063
0.2926 0.5000 0.7061
0.3247 0.0000 0.6738
0.6753 0.0000 0.3262
0.7074 0.5000 0.2939
0.7922 0.2826 0.7937
0.7922 0.7174 0.7937
```

Values from the calculation:
For the total energy, the calculation gives -7.35 eV per atom. The value obtained for the density of states at the Fermi level is 5.13 states/eV/f.u.